Record 1
A plane-wave DFT calculation with GGA-PBEsol was carried out for a relaxed Li2MgCd crystal.

Cell: 5.5687 5.5687 2.9428 Å, 100.42 100.42 117.15°
Positions (direct):
Li (0.0000, 0.5000, 0.0000)
Li (0.5000, 0.0000, 0.0000)
Mg (0.0000, 0.0000, 0.5000)
Cd (0.5000, 0.5000, 0.5000)

Values from the calculation:
As for the crystal system: monoclinic. The value obtained for the distance to the lowest polymorph of the same formula is 0.063 eV per atom.

=====

Record 2
A plane-wave DFT calculation with GGA-PBEsol was carried out for a relaxed LiSc2Fe crystal.

Cell: 5.6378 5.6378 5.6378 Å, 148.11 132.68 58.19°
Positions (direct):
Li (0.0000, 0.0000, 0.0000)
Sc (0.2942, 0.7942, 0.5000)
Sc (0.5948, 0.5948, 0.0000)
Fe (0.7940, 0.2940, 0.5000)

Values from the calculation:
As for the crystal system: orthorhombic.

=====

One value per record, in order, for mass density: 3.3; 3.7 g cm⁻³.
One value per record, in order, for energy of formation from the pure elements: -50; 61 kJ/mol of formula units.
One value per record, in order, for DOS at the Fermi energy: 1.64; 4.57 states/eV per cell.